DFT (PBE-GGA) results for PrEuLuCd after structural relaxation.

Computed properties:
ΔE_f, meV/atom: -28.5
Spin magnetization, μB/atom: 1.80

Cell: 7.921 7.921 7.921 Å, 90.00 90.00 90.00°
Space group F-43m (No. 216)
Asymmetric unit:
Pr 0.000 0.000 0.000 (multiplicity 4)
Eu 0.000 0.000 0.500 (multiplicity 4)
Lu 0.250 0.250 0.750 (multiplicity 4)
Cd 0.250 0.250 0.250 (multiplicity 4)

=====

DFT (PBE-GGA) results for EuLuCdRh after structural relaxation.

Computed properties:
ΔE_f, meV/atom: -387.2
Spin magnetization, μB/atom: 1.73

Cell: 7.191 7.191 7.191 Å, 90.00 90.00 90.00°
Space group F-43m (No. 216)
Asymmetric unit:
Eu 0.000 0.000 0.000 (multiplicity 4)
Lu 0.000 0.000 0.500 (multiplicity 4)
Cd 0.250 0.250 0.750 (multiplicity 4)
Rh 0.250 0.250 0.250 (multiplicity 4)

=====

DFT (PBE-GGA) results for EuLuCdRu after structural relaxation.

Computed properties:
ΔE_f, meV/atom: -117.8
Spin magnetization, μB/atom: 1.71

Cell: 7.144 7.144 7.144 Å, 90.00 90.00 90.00°
Space group F-43m (No. 216)
Asymmetric unit:
Eu 0.000 0.000 0.000 (multiplicity 4)
Lu 0.000 0.000 0.500 (multiplicity 4)
Cd 0.250 0.250 0.750 (multiplicity 4)
Ru 0.250 0.250 0.250 (multiplicity 4)

=====

DFT (PBE-GGA) results for SmEuLuCd after structural relaxation.

Computed properties:
ΔE_f, meV/atom: -21.0
Spin magnetization, μB/atom: 1.78

Cell: 7.853 7.853 7.853 Å, 90.00 90.00 90.00°
Space group F-43m (No. 216)
Asymmetric unit:
Sm 0.000 0.000 0.000 (multiplicity 4)
Eu 0.000 0.000 0.500 (multiplicity 4)
Lu 0.250 0.250 0.750 (multiplicity 4)
Cd 0.250 0.250 0.250 (multiplicity 4)

=====

no.,ρ (g/cm3)
1,7.75
2,9.68
3,9.84
4,8.09